No. 1
The following is a PBE calculation of a relaxed structure of AcTmGa2Ir2, from Alexandria via LeMat-Bulk. Values from VASP.

Computed properties:
The calculated total energy comes out at -6.17 eV per atom. Its total magnetization is 0.00 Bohr magnetons per cell. The density of states at the Fermi level comes out at 0.739 states/eV per atom.

The structure in Quantum ESPRESSO input format:
```
&SYSTEM
  ibrav = 0, nat = 6, ntyp = 4
/
ATOMIC_SPECIES
Ac 227.00 Ac.upf
Tm 168.93 Tm.upf
Ga 69.72 Ga.upf
Ir 192.22 Ir.upf
CELL_PARAMETERS angstrom
-3.2268 0.2799 -3.0452
3.6298 -2.4308 -0.8245
-3.3667 -6.0487 3.0115
ATOMIC_POSITIONS angstrom
Ac 0.0000 0.0000 0.0000
Tm -1.6833 -3.0243 1.5057
Ga -3.3060 -4.8722 -0.1897
Ga 0.3423 -3.3274 -0.6685
Ir -1.9236 -2.3887 -1.4262
Ir -1.0400 -5.8109 0.5680
```


No. 2
The following is a PBE calculation of a relaxed structure of AcYGaIr, from Alexandria via LeMat-Bulk. Values from VASP.

Computed properties:
The calculated total energy comes out at -6.07 eV per atom. Its total magnetization is 0.00 Bohr magnetons per cell. The density of states at the Fermi level comes out at 1.045 states/eV per atom.

The structure in Quantum ESPRESSO input format:
```
&SYSTEM
  ibrav = 0, nat = 4, ntyp = 4
/
ATOMIC_SPECIES
Y 88.91 Y.upf
Ac 227.00 Ac.upf
Ir 192.22 Ir.upf
Ga 69.72 Ga.upf
CELL_PARAMETERS angstrom
-3.1680 -0.2105 4.1174
-1.6288 -4.6001 1.7944
1.7671 -1.7889 4.5509
ATOMIC_POSITIONS angstrom
Y -2.2723 -4.9496 7.8470
Ac -0.7574 -1.6499 2.6157
Ir -1.5149 -3.2997 5.2314
Ga 0.0000 0.0000 0.0000
```


No. 3
The following is a PBE calculation of a relaxed structure of Ac2Zn3Ga4Ir, from Alexandria via LeMat-Bulk. Values from VASP.

Computed properties:
The calculated total energy comes out at -3.78 eV per atom. Its total magnetization is 0.00 Bohr magnetons per cell. The density of states at the Fermi level comes out at 0.638 states/eV per atom.

The structure in Quantum ESPRESSO input format:
```
&SYSTEM
  ibrav = 0, nat = 10, ntyp = 4
/
ATOMIC_SPECIES
Ac 227.00 Ac.upf
Zn 65.41 Zn.upf
Ga 69.72 Ga.upf
Ir 192.22 Ir.upf
CELL_PARAMETERS angstrom
4.4379 0.0000 0.0000
0.0000 4.4379 0.0000
0.0000 0.0000 10.5910
ATOMIC_POSITIONS angstrom
Ac 2.2189 0.0000 2.7212
Ac 0.0000 2.2189 7.8698
Zn 0.0000 0.0000 5.2955
Zn 2.2189 0.0000 9.1878
Zn 0.0000 2.2189 1.4032
Ga 2.2189 2.2189 0.0000
Ga 0.0000 0.0000 0.0000
Ga 2.2189 0.0000 6.5853
Ga 0.0000 2.2189 4.0057
Ir 2.2189 2.2189 5.2955
```


No. 4
The following is a PBE calculation of a relaxed structure of AcZnGa2Ir, from Alexandria via LeMat-Bulk. Values from VASP.

Computed properties:
The calculated total energy comes out at -4.60 eV per atom. Its total magnetization is 0.00 Bohr magnetons per cell. The density of states at the Fermi level comes out at 0.572 states/eV per atom.

The structure in Quantum ESPRESSO input format:
```
&SYSTEM
  ibrav = 0, nat = 5, ntyp = 4
/
ATOMIC_SPECIES
Ac 227.00 Ac.upf
Zn 65.41 Zn.upf
Ga 69.72 Ga.upf
Ir 192.22 Ir.upf
CELL_PARAMETERS angstrom
-1.8376 -3.4887 1.9814
2.2718 0.8659 3.6316
-4.2616 4.4532 -1.0255
ATOMIC_POSITIONS angstrom
Ac -3.5579 2.7638 1.5667
Zn -0.4359 1.6539 2.5080
Ga -2.5343 -0.4895 1.7021
Ga -0.4363 0.3389 0.1921
Ir -2.4064 0.7266 3.9618
```


No. 5
The following is a PBE calculation of a relaxed structure of Ac2Zn3GaIr4, from Alexandria via LeMat-Bulk. Values from VASP.

Computed properties:
The calculated total energy comes out at -5.52 eV per atom. Its total magnetization is 0.00 Bohr magnetons per cell. The density of states at the Fermi level comes out at 0.418 states/eV per atom.

The structure in Quantum ESPRESSO input format:
```
&SYSTEM
  ibrav = 0, nat = 10, ntyp = 4
/
ATOMIC_SPECIES
Ac 227.00 Ac.upf
Zn 65.41 Zn.upf
Ga 69.72 Ga.upf
Ir 192.22 Ir.upf
CELL_PARAMETERS angstrom
-4.1159 0.5643 1.3590
-0.3127 -4.2801 0.8301
3.4334 1.6344 9.7197
ATOMIC_POSITIONS angstrom
Ac -1.2558 0.6640 2.9505
Ac 2.4749 -0.8875 7.8639
Zn 1.7167 0.8172 4.8599
Zn 0.9367 1.7077 9.1573
Zn 0.2824 -1.9312 1.6570
Ga -0.4976 -1.0407 5.9545
Ir -2.2143 -1.8579 1.0946
Ir 0.0000 0.0000 0.0000
Ir 0.0978 1.3083 6.7824
Ir 1.1213 -1.5319 4.0319
```


No. 6
The following is a PBE calculation of a relaxed structure of AcZn2GaIr2, from Alexandria via LeMat-Bulk. Values from VASP.

Computed properties:
The calculated total energy comes out at -4.81 eV per atom. Its total magnetization is 0.00 Bohr magnetons per cell. The density of states at the Fermi level comes out at 0.384 states/eV per atom.

The structure in Quantum ESPRESSO input format:
```
&SYSTEM
  ibrav = 0, nat = 12, ntyp = 4
/
ATOMIC_SPECIES
Ac 227.00 Ac.upf
Zn 65.41 Zn.upf
Ga 69.72 Ga.upf
Ir 192.22 Ir.upf
CELL_PARAMETERS angstrom
4.4447 0.0000 0.0000
0.0000 7.0355 0.0000
0.0000 0.0000 8.4157
ATOMIC_POSITIONS angstrom
Ac 2.2224 3.5177 0.0000
Ac 0.0000 0.0000 4.2079
Zn 2.2224 0.6570 1.7137
Zn 0.0000 4.1747 2.4941
Zn 2.2224 6.3785 6.7020
Zn 0.0000 2.8607 5.9216
Ga 0.0000 0.0000 0.0000
Ga 2.2224 3.5177 4.2079
Ir 2.2224 5.3379 2.6229
Ir 2.2224 1.6976 5.7928
Ir 0.0000 5.2153 6.8307
Ir 0.0000 1.8202 1.5850
```


No. 7
The following is a PBE calculation of a relaxed structure of AcZnGaIr3, from Alexandria via LeMat-Bulk. Values from VASP.

Computed properties:
The calculated total energy comes out at -5.98 eV per atom. Its total magnetization is 0.00 Bohr magnetons per cell. The density of states at the Fermi level comes out at 1.219 states/eV per atom.

The structure in Quantum ESPRESSO input format:
```
&SYSTEM
  ibrav = 0, nat = 12, ntyp = 4
/
ATOMIC_SPECIES
Ac 227.00 Ac.upf
Zn 65.41 Zn.upf
Ga 69.72 Ga.upf
Ir 192.22 Ir.upf
CELL_PARAMETERS angstrom
-5.0683 2.9940 0.2484
-3.2354 -5.3542 -1.4809
1.1092 1.3157 6.7738
ATOMIC_POSITIONS angstrom
Ac -4.0930 1.4644 3.6480
Ac -3.1016 -2.5089 1.8932
Zn -3.3477 -3.1677 4.8130
Zn -3.8469 2.1232 0.7283
Ga -1.6365 -0.2403 4.4444
Ga -5.5581 -0.8042 1.0969
Ir -1.4349 0.2992 2.0531
Ir -0.9610 -1.5903 -0.4399
Ir -4.8086 -2.2669 -0.9168
Ir -3.4952 -0.0934 -0.3157
Ir -2.2744 -3.7639 -1.0410
Ir -5.7597 -1.3437 3.4882
```


No. 8
The following is a PBE calculation of a relaxed structure of AcZnGaIr2, from Alexandria via LeMat-Bulk. Values from VASP.

Computed properties:
The calculated total energy comes out at -5.78 eV per atom. Its total magnetization is 0.00 Bohr magnetons per cell. The density of states at the Fermi level comes out at 0.577 states/eV per atom.

The structure in Quantum ESPRESSO input format:
```
&SYSTEM
  ibrav = 0, nat = 5, ntyp = 4
/
ATOMIC_SPECIES
Ac 227.00 Ac.upf
Zn 65.41 Zn.upf
Ga 69.72 Ga.upf
Ir 192.22 Ir.upf
CELL_PARAMETERS angstrom
4.2949 0.0000 0.0000
0.0000 4.2949 0.0000
-2.1474 -2.1474 5.4877
ATOMIC_POSITIONS angstrom
Ac 0.0000 0.0000 0.0000
Zn 0.0000 2.1474 2.7438
Ga 2.1474 0.0000 2.7438
Ir 2.1474 2.1474 1.2813
Ir 0.0000 0.0000 4.2063
```


No. 9
The following is a PBE calculation of a relaxed structure of AcZnGa3Ir, from Alexandria via LeMat-Bulk. Values from VASP.

Computed properties:
The calculated total energy comes out at -4.13 eV per atom. Its total magnetization is 0.00 Bohr magnetons per cell. The density of states at the Fermi level comes out at 0.407 states/eV per atom.

The structure in Quantum ESPRESSO input format:
```
&SYSTEM
  ibrav = 0, nat = 12, ntyp = 4
/
ATOMIC_SPECIES
Ac 227.00 Ac.upf
Zn 65.41 Zn.upf
Ga 69.72 Ga.upf
Ir 192.22 Ir.upf
CELL_PARAMETERS angstrom
-0.5393 5.4892 -2.6534
-5.1190 1.2686 3.6648
6.8762 2.2258 3.2071
ATOMIC_POSITIONS angstrom
Ac 1.1506 5.1473 -0.1746
Ac 0.0673 3.8364 4.3931
Zn 3.3081 3.6535 3.3561
Zn -2.0902 5.3302 0.8624
Ga 1.8965 2.7182 1.7082
Ga -1.3973 0.3463 1.0003
Ga -3.9914 3.6669 1.3378
Ga -1.6669 3.0909 -0.3264
Ga -3.7217 0.9223 2.6645
Ga -0.6786 6.2654 2.5104
Ir 0.4946 1.7894 0.0715
Ir 0.7233 7.1943 4.1470
```


No. 10
The following is a PBE calculation of a relaxed structure of Ac2ZnGa3Ir4, from Alexandria via LeMat-Bulk. Values from VASP.

Computed properties:
The calculated total energy comes out at -6.05 eV per atom. Its total magnetization is 0.00 Bohr magnetons per cell. The density of states at the Fermi level comes out at 0.582 states/eV per atom.

The structure in Quantum ESPRESSO input format:
```
&SYSTEM
  ibrav = 0, nat = 10, ntyp = 4
/
ATOMIC_SPECIES
Ac 227.00 Ac.upf
Zn 65.41 Zn.upf
Ga 69.72 Ga.upf
Ir 192.22 Ir.upf
CELL_PARAMETERS angstrom
4.3669 0.0000 0.0000
0.0000 4.3669 0.0000
0.0000 0.0000 10.4710
ATOMIC_POSITIONS angstrom
Ac 2.1834 0.0000 2.5534
Ac 0.0000 2.1834 7.9175
Zn 2.1834 2.1834 5.2355
Ga 0.0000 0.0000 5.2355
Ga 2.1834 0.0000 9.1987
Ga 0.0000 2.1834 1.2722
Ir 2.1834 2.1834 0.0000
Ir 0.0000 0.0000 0.0000
Ir 2.1834 0.0000 6.6373
Ir 0.0000 2.1834 3.8337
```


No. 11
The following is a PBE calculation of a relaxed structure of KAcGa4, from Alexandria via LeMat-Bulk. Values from VASP.

Computed properties:
The calculated total energy comes out at -3.13 eV per atom. Its total magnetization is 0.00 Bohr magnetons per cell. The density of states at the Fermi level comes out at 0.677 states/eV per atom.

The structure in Quantum ESPRESSO input format:
```
&SYSTEM
  ibrav = 0, nat = 6, ntyp = 3
/
ATOMIC_SPECIES
Ac 227.00 Ac.upf
K 39.10 K.upf
Ga 69.72 Ga.upf
CELL_PARAMETERS angstrom
-0.0129 1.8945 5.5614
-1.2286 -3.7289 4.3708
4.2428 -1.6989 3.6920
ATOMIC_POSITIONS angstrom
Ac 0.0000 0.0000 0.0000
K 0.7503 -0.8833 3.4061
Ga -0.2511 -1.3576 6.6687
Ga 2.4933 -0.3394 6.3282
Ga 1.8770 -2.2098 8.5205
Ga 1.8835 -3.1600 5.7310
```


No. 12
The following is a PBE calculation of a relaxed structure of KAc3Ga4O12, from Alexandria via LeMat-Bulk. Values from VASP.

Computed properties:
The calculated total energy comes out at -6.34 eV per atom. Its total magnetization is 2.11 Bohr magnetons per cell. The energy relative to the elements, uncorrected is -2.092 eV/atom. The density of states at the Fermi level comes out at 0.385 states/eV per atom.

The structure in Quantum ESPRESSO input format:
```
&SYSTEM
  ibrav = 0, nat = 20, ntyp = 4
/
ATOMIC_SPECIES
K 39.10 K.upf
Ac 227.00 Ac.upf
Ga 69.72 Ga.upf
O 16.00 O.upf
CELL_PARAMETERS angstrom
-0.7701 3.1780 6.9234
-0.7930 -7.5492 1.0037
7.2796 1.1348 -2.0846
ATOMIC_POSITIONS angstrom
K 0.0000 0.0000 0.0000
Ac -0.7806 -1.7438 4.2074
Ac 3.5863 2.0723 2.0484
Ac 2.9109 -3.5648 -0.4132
Ga 2.8687 3.2667 5.6170
Ga 6.5239 -2.5486 -1.1807
Ga -0.8178 -5.5727 4.3276
Ga 2.8583 -1.6182 2.9213
O 4.0383 -0.3489 2.4699
O -0.3472 -0.8045 6.5084
O 2.8492 -5.8899 0.5640
O 6.0729 1.8399 1.6915
O 0.3642 -5.7911 2.9819
O 6.4435 -0.9763 -0.2992
O 1.6788 1.9629 5.9908
O -0.7306 -3.9889 5.1878
O 5.3388 -3.7997 -0.6460
O 4.0551 2.8840 4.3124
O 1.6817 -1.3195 4.2380
O 2.8549 -3.1862 2.0560
```